# 1
Here is an optimized crystal structure of K2BAu from Alexandria. Energies are from GGA-PBE.

Cell lengths 12.1755, 12.1755, 4.1289 Å; angles 90.00, 90.00, 90.00 degrees
With the nearest neighbours (Å) after each atom.
Atoms (fractional coordinates):
K 0.0313 0.2500 0.1250  2 B 3.11, 2 Au 3.44
K 0.2500 0.5313 0.3750  2 B 3.11, 2 Au 3.44
K 0.2500 0.9687 0.8750  2 B 3.11, 2 Au 3.44
K 0.4687 0.2500 0.6250  2 B 3.11, 2 Au 3.44
K 0.5313 0.7500 0.6250  2 B 3.11, 2 Au 3.44
K 0.7500 0.0313 0.8750  2 B 3.11, 2 Au 3.44
K 0.7500 0.4687 0.3750  2 B 3.11, 2 Au 3.44
K 0.9687 0.7500 0.1250  2 B 3.11, 2 Au 3.44
B 0.0000 0.0000 0.0000  2 Au 2.06
B 0.0000 0.5000 0.2500  2 Au 2.06
B 0.5000 0.0000 0.7500  2 Au 2.06
B 0.5000 0.5000 0.5000  2 Au 2.06
Au 0.0000 0.0000 0.5000  2 B 2.06
Au 0.0000 0.5000 0.7500  2 B 2.06
Au 0.5000 0.0000 0.2500  2 B 2.06
Au 0.5000 0.5000 0.0000  2 B 2.06

Calculated values
SG	I-42d (122)
magnetic moment	0.0	μB per formula unit
formation energy from the elements	0.187	eV per atom
calculated density	3.10	Mg/m³

***

# 2
Here is an optimized crystal structure of KNiB2Au from Alexandria. Energies are from GGA-PBE.

Cell lengths 3.9850, 3.9850, 5.1335 Å; angles 90.00, 90.00, 90.00 degrees
With the nearest neighbours (Å) after each atom.
Atoms (fractional coordinates):
K 0.0000 0.0000 0.0000  4 Au 2.82
Ni 0.5000 0.5000 0.5000  4 B 1.99
B 0.0000 0.5000 0.5000  2 Ni 1.99
B 0.5000 0.0000 0.5000  2 Ni 1.99
Au 0.5000 0.5000 0.0000  2 Ni 2.57, 4 K 2.82

Calculated values
SG	P4/mmm (123)
magnetic moment	0.0	μB per formula unit
formation energy from the elements	0.681	eV per atom
calculated density	6.44	Mg/m³

***

# 3
Here is an optimized crystal structure of KNi2BAu from Alexandria. Energies are from GGA-PBE.

Cell lengths 3.9761, 3.9761, 5.3030 Å; angles 90.00, 90.00, 90.00 degrees
With the nearest neighbours (Å) after each atom.
Atoms (fractional coordinates):
K 0.0000 0.0000 0.0000  2 B 2.65, 4 Au 2.81
Ni 0.0000 0.5000 0.5000  2 B 1.99
Ni 0.5000 0.0000 0.5000  2 B 1.99
B 0.0000 0.0000 0.5000  4 Ni 1.99
Au 0.5000 0.5000 0.0000  4 K 2.81

Calculated values
SG	P4/mmm (123)
magnetic moment	0.0	μB per formula unit
formation energy from the elements	0.556	eV per atom
calculated density	7.21	Mg/m³

***

# 4
Here is an optimized crystal structure of K2BAuO2 from Alexandria. Energies are from GGA-PBE.

Cell lengths 6.8349, 6.8349, 5.3678 Å; angles 90.00, 90.00, 80.29 degrees
With the nearest neighbours (Å) after each atom.
Atoms (fractional coordinates):
K 0.0512 0.3255 0.0000  4 O 2.68-2.83
K 0.3255 0.0512 0.5000  4 O 2.68-2.83
K 0.6745 0.9488 0.0000  4 O 2.68-2.83
K 0.9488 0.6745 0.5000  4 O 2.68-2.83
B 0.2114 0.7886 0.9765  2 O 1.33
B 0.7886 0.2114 0.4765  2 O 1.33
Au 0.4422 0.5578 0.7801  1 B 2.29
Au 0.5578 0.4422 0.2801  1 B 2.29
O 0.0430 0.7196 0.0079  1 B 1.33
O 0.2804 0.9570 0.0079  1 B 1.33
O 0.7196 0.0430 0.5079  1 B 1.33
O 0.9570 0.2804 0.5079  1 B 1.33

Calculated values
SG	Cmc2_1 (36)
magnetic moment	0.0	μB per formula unit
raw formation energy	-1.520	eV/atom
calculated density	4.27	Mg/m³

***

# 5
Here is an optimized crystal structure of KB2OsAu from Alexandria. Energies are from GGA-PBE.

Cell lengths 4.1717, 4.1717, 5.3265 Å; angles 90.00, 90.00, 90.00 degrees
With the nearest neighbours (Å) after each atom.
Atoms (fractional coordinates):
K 0.0000 0.0000 0.0000  4 Au 2.95
B 0.0000 0.5000 0.5000  2 Os 2.09
B 0.5000 0.0000 0.5000  2 Os 2.09
Os 0.5000 0.5000 0.5000  4 B 2.09
Au 0.5000 0.5000 0.0000  2 Os 2.66, 4 K 2.95

Calculated values
SG	P4/mmm (123)
magnetic moment	0.0	μB per formula unit
formation energy from the elements	0.573	eV per atom
calculated density	8.02	Mg/m³

***

# 6
Here is an optimized crystal structure of KB2PdAu from Alexandria. Energies are from GGA-PBE.

Cell lengths 4.7903, 4.7903, 5.0531 Å; angles 90.00, 90.00, 90.00 degrees
With the nearest neighbours (Å) after each atom.
Atoms (fractional coordinates):
K 0.0000 0.0000 0.0000  4 B 2.40, 2 Pd 2.53
B 0.0000 0.5000 0.0000  2 K 2.40
B 0.5000 0.0000 0.0000  2 K 2.40
Pd 0.0000 0.0000 0.5000  2 K 2.53
Au 0.5000 0.5000 0.5000  4 Pd 3.39, 8 B 3.48

Calculated values
SG	P4/mmm (123)
magnetic moment	0.0	μB per formula unit
formation energy from the elements	2.700	eV per atom
calculated density	5.21	Mg/m³

***

# 7
Here is an optimized crystal structure of K2BSbAu from Alexandria. Energies are from GGA-PBE.

Cell lengths 6.7533, 6.7533, 4.3541 Å; angles 90.00, 90.00, 90.00 degrees
With the nearest neighbours (Å) after each atom.
Atoms (fractional coordinates):
K 0.0000 0.5000 0.0000  2 Sb 3.38
K 0.5000 0.0000 0.0000  2 Sb 3.38
B 0.0000 0.0000 0.5000  2 Sb 2.18
Sb 0.0000 0.0000 0.0000  2 B 2.18
Au 0.5000 0.5000 0.5000  8 K 4.02, 2 Au 4.35

Calculated values
SG	P4/mmm (123)
magnetic moment	0.0	μB per formula unit
raw formation energy	0.461	eV/atom
calculated density	3.41	Mg/m³

***

# 8
Here is an optimized crystal structure of KBTeAu2 from Alexandria. Energies are from GGA-PBE.

Cell lengths 4.5270, 4.5270, 5.3853 Å; angles 90.00, 90.00, 90.00 degrees
With the nearest neighbours (Å) after each atom.
Atoms (fractional coordinates):
K 0.0000 0.0000 0.0000  4 Te 3.20, 8 Au 3.52
B 0.5000 0.5000 0.5000  4 Au 2.26
Te 0.5000 0.5000 0.0000  2 B 2.69
Au 0.0000 0.5000 0.5000  2 B 2.26
Au 0.5000 0.0000 0.5000  2 B 2.26

Calculated values
SG	P4/mmm (123)
magnetic moment	0.0	μB per formula unit
raw formation energy	0.151	eV/atom
calculated density	8.60	Mg/m³

***

Repeat the eighth record exactly.
Here is an optimized crystal structure of KBTeAu2 from Alexandria. Energies are from GGA-PBE.

Cell lengths 4.5270, 4.5270, 5.3853 Å; angles 90.00, 90.00, 90.00 degrees
With the nearest neighbours (Å) after each atom.
Atoms (fractional coordinates):
K 0.0000 0.0000 0.0000  4 Te 3.20, 8 Au 3.52
B 0.5000 0.5000 0.5000  4 Au 2.26
Te 0.5000 0.5000 0.0000  2 B 2.69
Au 0.0000 0.5000 0.5000  2 B 2.26
Au 0.5000 0.0000 0.5000  2 B 2.26

Calculated values
SG	P4/mmm (123)
magnetic moment	0.0	μB per formula unit
raw formation energy	0.151	eV/atom
calculated density	8.60	Mg/m³

***

> Which of these has the highest calculated density?

KBTeAu2